Material: La2TcH2
Method: DFT, PBE
State: optimized geometry

abc: 7.307 7.307 7.307
angles: 151.40 151.40 40.90
Atoms (fractional coordinates):
La 0.132 0.132 0.000
La 0.868 0.868 0.000
Tc 0.500 0.500 0.000
H 0.250 0.750 0.500
H 0.750 0.250 0.500

Results
Volume in Å³/atom: 17.8
DOS at the Fermi energy in states/eV per cell: 3.20
Uncorrected energy in eV per atom: -5.545
Crystal system: tetragonal